DFT (PBE-GGA) results for a relaxed structure of Sc8Fe2Os.

CIF file:
```
data_Sc8Fe2Os
_chemical_formula_sum 'Sc16 Fe4 Os2'
_space_group_name_H-M_alt 'C 1 2/m 1'
_space_group_IT_number 12
_space_group_name_Hall '-C 2y'
_cell_length_a 7.797
_cell_length_b 11.490
_cell_length_c 5.142
_cell_angle_alpha 90.00
_cell_angle_beta 106.77
_cell_angle_gamma 90.00
loop_
_atom_site_label
_atom_site_type_symbol
_atom_site_fract_x
_atom_site_fract_y
_atom_site_fract_z
Sc1 Sc 0.000 0.225 0.000
Sc2 Sc 0.140 0.500 0.818
Sc3 Sc 0.194 0.130 0.587
Fe1 Fe 0.000 0.316 0.500
Os1 Os 0.000 0.000 0.000
```

Computed properties:
**E_form**: -1.13 eV/f.u.

=====

DFT (PBE-GGA) results for a relaxed structure of MgZrAlOs.

CIF file:
```
data_MgZrAlOs
_chemical_formula_sum 'Mg4 Zr4 Al4 Os4'
_space_group_name_H-M_alt 'F -4 3 m'
_space_group_IT_number 216
_space_group_name_Hall 'F -4 2 3'
_cell_length_a 6.473
_cell_length_b 6.473
_cell_length_c 6.473
_cell_angle_alpha 90.00
_cell_angle_beta 90.00
_cell_angle_gamma 90.00
loop_
_atom_site_label
_atom_site_type_symbol
_atom_site_fract_x
_atom_site_fract_y
_atom_site_fract_z
Mg1 Mg 0.000 0.000 0.000
Zr1 Zr 0.250 0.250 0.250
Al1 Al 0.250 0.250 0.750
Os1 Os 0.000 0.000 0.500
```

Computed properties:
**E_form**: -1.20 eV/f.u.

=====

DFT (PBE-GGA) results for a relaxed structure of La4Y5Sc.

CIF file:
```
data_La4Y5Sc
_chemical_formula_sum 'La8 Y10 Sc2'
_space_group_name_H-M_alt 'P m m n'
_space_group_IT_number 59
_cell_length_a 10.563
_cell_length_b 11.604
_cell_length_c 5.709
_cell_angle_alpha 90.00
_cell_angle_beta 90.00
_cell_angle_gamma 90.00
loop_
_space_group_symop_operation_xyz
'x,y,z'
'-x,-y,-z'
'-x+1/2,-y+1/2,z'
'x+1/2,y+1/2,-z'
'x+1/2,-y,-z'
'-x+1/2,y,z'
'-x,y+1/2,-z'
'x,-y+1/2,z'
loop_
_atom_site_label
_atom_site_type_symbol
_atom_site_fract_x
_atom_site_fract_y
_atom_site_fract_z
La1 La 0.030 0.250 0.250
La2 La 0.250 0.565 0.749
Y1 Y 0.059 0.553 0.250
Y2 Y 0.250 0.250 0.750
Sc1 Sc 0.250 0.750 0.249
```

Computed properties:
**E_form**: 2.26 eV/f.u.

=====

DFT (PBE-GGA) results for a relaxed structure of MnHRuAu.

CIF file:
```
data_MnHRuAu
_chemical_formula_sum 'Mn3 H3 Ru3 Au3'
_space_group_name_H-M_alt 'R 3 m'
_space_group_IT_number 160
_space_group_name_Hall 'R 3 -2"'
_cell_length_a 2.7647
_cell_length_b 2.7647
_cell_length_c 21.1176
_cell_angle_alpha 90.00
_cell_angle_beta 90.00
_cell_angle_gamma 120.00
loop_
_atom_site_label
_atom_site_type_symbol
_atom_site_fract_x
_atom_site_fract_y
_atom_site_fract_z
Mn1 Mn 0.0000 0.0000 0.0000
H1 H 0.0000 0.0000 0.6341
Ru1 Ru 0.0000 0.0000 0.7588
Au1 Au 0.0000 0.0000 0.2083
```

Computed properties:
**E**: -6.085 eV/atom

=====

For the records above, the corresponding N(E_F) values read 18.30, 16.20, 35.57, 10.50 states/eV/cell.